Entry 1:
Material: CoIr5W2
Method: DFT, PBE
State: relaxed

Geometry as CIF:
```
data_CoIr5W2
_chemical_formula_sum 'Co2 Ir10 W4'
_cell_length_a 4.3794
_cell_length_b 5.4985
_cell_length_c 9.5132
_cell_angle_alpha 90.00
_cell_angle_beta 90.00
_cell_angle_gamma 90.00
_symmetry_space_group_name_H-M 'A m m 2'
_symmetry_Int_Tables_number 38
loop_
_symmetry_equiv_pos_as_xyz
'x,y,z'
'-x,-y,z'
'-x,y,z'
'x,-y,z'
'x,y+1/2,z+1/2'
'-x,-y+1/2,z+1/2'
'-x,y+1/2,z+1/2'
'x,-y+1/2,z+1/2'
loop_
_atom_site_label
_atom_site_type_symbol
_atom_site_fract_x
_atom_site_fract_y
_atom_site_fract_z
Co1 Co 0.0000 0.0000 0.0000
Ir1 Ir 0.0000 0.2488 0.2519
Ir2 Ir 0.5000 0.0000 0.3326
Ir3 Ir 0.5000 0.2440 0.0815
W1 W 0.0000 0.0000 0.5018
W2 W 0.5000 0.0000 0.8382
```

Calculated values
Formation energy ... -0.30 eV per atom
Magnetization ... 0.07 μB per atom


Entry 2:
Material: PuTh
Method: DFT, PBE
State: relaxed

Geometry as CIF:
```
data_PuTh
_chemical_formula_sum 'Pu1 Th1'
_cell_length_a 3.4852
_cell_length_b 3.4852
_cell_length_c 5.6228
_cell_angle_alpha 90.00
_cell_angle_beta 90.00
_cell_angle_gamma 120.00
_symmetry_space_group_name_H-M 'P -6 m 2'
_symmetry_Int_Tables_number 187
_symmetry_space_group_name_Hall 'P -6 2'
loop_
_atom_site_label
_atom_site_type_symbol
_atom_site_fract_x
_atom_site_fract_y
_atom_site_fract_z
Pu1 Pu 0.0000 0.0000 0.0000
Th1 Th 0.6667 0.3333 0.5000
```

Calculated values
Formation energy ... 0.12 eV per atom
Energy relative to the lowest polymorph listed for this composition ... 0.0 kJ/mol of atoms
Magnetization ... 2.93 μB per atom


Entry 3:
Material: ErTm3Lu2Bi2Os
Method: DFT, PBE
State: relaxed

Geometry as CIF:
```
data_ErTm3Lu2Bi2Os
_chemical_formula_sum 'Er2 Tm6 Lu4 Bi4 Os2'
_cell_length_a 4.2053
_cell_length_b 14.1502
_cell_length_c 8.1635
_cell_angle_alpha 90.00
_cell_angle_beta 90.00
_cell_angle_gamma 90.00
_symmetry_space_group_name_H-M 'A m m 2'
_symmetry_Int_Tables_number 38
loop_
_symmetry_equiv_pos_as_xyz
'x,y,z'
'-x,-y,z'
'-x,y,z'
'x,-y,z'
'x,y+1/2,z+1/2'
'-x,-y+1/2,z+1/2'
'-x,y+1/2,z+1/2'
'x,-y+1/2,z+1/2'
loop_
_atom_site_label
_atom_site_type_symbol
_atom_site_fract_x
_atom_site_fract_y
_atom_site_fract_z
Er1 Er 0.0000 0.0000 0.0000
Tm1 Tm 0.5000 0.0000 0.6147
Tm2 Tm 0.5000 0.1913 0.0432
Lu1 Lu 0.0000 0.1163 0.3501
Bi1 Bi 0.0000 0.1673 0.7330
Os1 Os 0.5000 0.0000 0.2375
```

Calculated values
E ... -5.71 eV/atom
Magnetization ... 0.00 μB per atom


Entry 4:
Material: NdSb
Method: DFT, PBE
State: relaxed

Geometry as CIF:
```
data_NdSb
_chemical_formula_sum 'Nd4 Sb4'
_cell_length_a 7.1495
_cell_length_b 7.1495
_cell_length_c 7.1495
_cell_angle_alpha 90.00
_cell_angle_beta 90.00
_cell_angle_gamma 90.00
_symmetry_space_group_name_H-M 'F -4 3 m'
_symmetry_Int_Tables_number 216
_symmetry_space_group_name_Hall 'F -4 2 3'
loop_
_atom_site_label
_atom_site_type_symbol
_atom_site_fract_x
_atom_site_fract_y
_atom_site_fract_z
Nd1 Nd 0.0000 0.0000 0.0000
Sb1 Sb 0.2500 0.2500 0.7500
```

Calculated values
E ... -5.08 eV/atom
Magnetization ... 0.00 μB per atom


Entry 5:
Material: Er2Lu3Al3
Method: DFT, PBE
State: relaxed

Geometry as CIF:
```
data_Er2Lu3Al3
_chemical_formula_sum 'Er6 Lu9 Al9'
_cell_length_a 5.5408
_cell_length_b 5.5408
_cell_length_c 22.6738
_cell_angle_alpha 90.00
_cell_angle_beta 90.00
_cell_angle_gamma 120.00
_symmetry_space_group_name_H-M 'R -3 m'
_symmetry_Int_Tables_number 166
_symmetry_space_group_name_Hall '-R 3 2"'
loop_
_atom_site_label
_atom_site_type_symbol
_atom_site_fract_x
_atom_site_fract_y
_atom_site_fract_z
Er1 Er 0.0000 0.0000 0.2136
Lu1 Lu 0.0000 0.0000 0.0680
Lu2 Lu 0.0000 0.0000 0.5000
Al1 Al 0.0000 0.5000 0.0000
```

Calculated values
E ... -4.36 eV/atom
Magnetization ... 0.00 μB per atom


Entry 6:
Material: BAsPtO
Method: DFT, PBE
State: relaxed

Geometry as CIF:
```
data_BAsPtO
_chemical_formula_sum 'B2 As2 Pt2 O2'
_cell_length_a 2.6478
_cell_length_b 6.7876
_cell_length_c 5.7354
_cell_angle_alpha 90.00
_cell_angle_beta 90.00
_cell_angle_gamma 90.00
_symmetry_space_group_name_H-M 'P m c 21'
_symmetry_Int_Tables_number 26
loop_
_symmetry_equiv_pos_as_xyz
'x,y,z'
'-x,-y,z+1/2'
'-x,y,z'
'x,-y,z+1/2'
loop_
_atom_site_label
_atom_site_type_symbol
_atom_site_fract_x
_atom_site_fract_y
_atom_site_fract_z
B1 B 0.0000 0.1209 0.0000
As1 As 0.0000 0.1746 0.3629
Pt1 Pt 0.5000 0.4779 0.4038
O1 O 0.5000 0.1933 0.9047
```

Calculated values
Energy relative to the lowest polymorph listed for this composition ... 25.1 kJ/mol of atoms
Magnetization ... 0.00 μB per atom